1.
# Zn7Ga12Hg PBE relaxed
# Electronic total energy ... -132.40 eV for the cell shown
# Energy of formation from the pure elements ... 0.07 eV/atom
data_Zn7Ga12Hg
_symmetry_space_group_name_H-M 'R -3'
_symmetry_Int_Tables_number 148
_symmetry_space_group_name_Hall '-R 3'
_cell_length_a 12.3817
_cell_length_b 12.3817
_cell_length_c 8.3248
_cell_angle_alpha 90.00
_cell_angle_beta 90.00
_cell_angle_gamma 120.00
loop_
_atom_site_label
_atom_site_type_symbol
_atom_site_fract_x
_atom_site_fract_y
_atom_site_fract_z
_atom_site_occupancy
Zn1 Zn 0.0000 0.0000 0.0000 1
Zn2 Zn 0.0820 0.1798 0.2529 1
Ga1 Ga 0.0018 0.2637 0.5096 1
Ga2 Ga 0.0791 0.5193 0.6111 1
Hg1 Hg 0.0000 0.0000 0.5000 1

=====

2.
# Zn3Ga5Hg12 PBE relaxed
# Electronic total energy ... -155.12 eV for the cell shown
# Energy of formation from the pure elements ... 0.16 eV/atom
data_Zn3Ga5Hg12
_symmetry_space_group_name_H-M 'I a -3 d'
_symmetry_Int_Tables_number 230
_symmetry_space_group_name_Hall '-I 4bd 2c 3'
_cell_length_a 16.2258
_cell_length_b 16.2258
_cell_length_c 16.2258
_cell_angle_alpha 90.00
_cell_angle_beta 90.00
_cell_angle_gamma 90.00
loop_
_atom_site_label
_atom_site_type_symbol
_atom_site_fract_x
_atom_site_fract_y
_atom_site_fract_z
_atom_site_occupancy
Zn1 Zn 0.0000 0.2500 0.1250 1
Ga1 Ga 0.0000 0.0000 0.0000 1
Ga2 Ga 0.0000 0.2500 0.3750 1
Hg1 Hg 0.0227 0.0832 0.6504 1

=====

Question: Look up the electronic total energy of the first one.
Answer: -132.40 eV for the cell shown

=====

Question: Among the records above, which one has the lowest energy of formation from the pure elements?
Answer: Zn7Ga12Hg